The following is a PBE calculation of a relaxed structure of Al2FePb, from Alexandria via LeMat-Bulk.

Geometry as POSCAR:
```
Al2FePb
1.0
-0.170 -0.617 -2.902
1.385 -2.587 0.468
-7.281 -3.681 1.210
Fe Al Pb
1 2 1
Direct
0.500 0.500 0.250 Fe
0.000 0.000 0.413 Al
0.000 0.000 0.087 Al
0.500 0.500 0.750 Pb
```

Results
Space-group type: P4/mmm, No. 123
Raw total energy in eV per cell: -19.54

***

The following is a PBE calculation of a relaxed structure of AlFePb, from Alexandria via LeMat-Bulk.

Geometry as POSCAR:
```
AlFePb
1.0
4.372 0.000 0.000
2.186 3.787 0.000
2.186 1.262 3.570
Fe Pb Al
1 1 1
Direct
0.250 0.250 0.250 Fe
0.000 0.000 0.000 Pb
0.500 0.500 0.500 Al
```

Results
Space-group type: F-43m, No. 216
Distance to the lowest polymorph of the same formula in meV/atom: 30
Raw total energy in eV per cell: -14.88

***

Number 1: density of states at the Fermi level 2.39 states/eV per cell, ΔE_f 3 kJ per mole of atoms, total magnetization 0.0000 μB/atom. Number 2: density of states at the Fermi level 3.43 states/eV per cell, ΔE_f 33 kJ per mole of atoms, total magnetization 0.6082 μB/atom.